Compound: V2SnO
Source: the Alexandria database
Functional: GGA+U
Structure: optimized geometry

Lattice parameters (Å, degrees): 5.686 5.686 5.686 110.54 110.54 107.35
Atoms (fractional coordinates):
V (0.007, 0.125, 0.382)
V (0.375, 0.993, 0.118)
V (0.743, 0.625, 0.618)
V (0.875, 0.257, 0.882)
Sn (0.250, 0.750, 0.500)
Sn (0.500, 0.500, 0.000)
O (0.000, 0.000, 0.000)
O (0.750, 0.250, 0.500)

- DFT total energy (eV per atom) = -6.274